Record 1
Here is an optimized crystal structure of Na2YHf2Se6 from Alexandria. Energies are from PBE.

a = 6.773 Å, b = 6.773 Å, c = 7.513 Å
α = 98.36°, β = 98.36°, γ = 120.41°
Element x y z (fractional)
Na1 0.839 0.161 0.000
Na2 0.161 0.839 0.000
Y1 0.000 0.000 0.500
Hf1 0.333 0.667 0.500
Hf2 0.667 0.333 0.500
Se1 0.719 0.719 0.722
Se2 0.072 0.422 0.722
Se3 0.281 0.281 0.278
Se4 0.422 0.072 0.722
Se5 0.928 0.578 0.278
Se6 0.578 0.928 0.278

**N(E_F)**: 4.3 states/eV per cell
**Uncorrected energy**: -5.98 eV/atom
**Formation energy (no corrections)**: -1.44 eV per atom

***

Record 2
Here is an optimized crystal structure of Ba8Li2Pd from Alexandria. Energies are from PBE.

a = 6.376 Å, b = 8.158 Å, c = 11.237 Å
α = 106.95°, β = 106.48°, γ = 90.00°
Element x y z (fractional)
Ba1 0.413 0.589 0.825
Ba2 0.644 0.966 0.288
Ba3 0.792 0.693 0.583
Ba4 0.980 0.208 0.960
Ba5 0.208 0.307 0.417
Ba6 0.356 0.034 0.712
Ba7 0.587 0.411 0.175
Ba8 0.020 0.792 0.040
Li1 0.818 0.274 0.636
Li2 0.182 0.726 0.364
Pd1 0.500 0.000 0.000

**ΔH_f (0 K)**: -51 meV/atom
**N(E_F)**: 13.5 states/eV per cell
**Uncorrected energy**: -2.27 eV/atom

***

Record 3
Here is an optimized crystal structure of Hf2VPd from Alexandria. Energies are from PBE.

a = 3.257 Å, b = 3.257 Å, c = 6.745 Å
α = 90.00°, β = 90.00°, γ = 90.00°
Element x y z (fractional)
Hf1 0.000 0.000 0.760
Hf2 0.000 0.000 0.240
Pd1 0.500 0.500 0.500
V1 0.500 0.500 0.000

**ΔH_f (0 K)**: -338 meV/atom
**N(E_F)**: 4.2 states/eV per cell
**Uncorrected energy**: -8.89 eV/atom

***

Record 4
Here is an optimized crystal structure of YIrPb2O6 from Alexandria. Energies are from PBE.

a = 5.866 Å, b = 5.876 Å, c = 8.286 Å
α = 90.00°, β = 90.31°, γ = 90.00°
Last column: magnetic moment on the atom in μB.
Element x y z (fractional)
Y1 0.500 0.000 0.000  0.00
Y2 0.000 0.500 0.500  0.00
Ir1 0.500 0.000 0.500  0.60
Ir2 0.000 0.500 0.000  0.60
Pb1 0.009 0.971 0.247  0.01
Pb2 0.509 0.529 0.747  0.01
Pb3 0.991 0.029 0.753  0.01
Pb4 0.491 0.471 0.253  0.01
O1 0.266 0.701 0.045  0.06
O2 0.766 0.799 0.545  0.06
O3 0.734 0.299 0.955  0.06
O4 0.234 0.201 0.455  0.06
O5 0.306 0.728 0.459  0.06
O6 0.806 0.772 0.959  0.06
O7 0.694 0.272 0.541  0.06
O8 0.194 0.228 0.041  0.06
O9 0.920 0.517 0.233  0.07
O10 0.420 0.983 0.733  0.07
O11 0.080 0.483 0.767  0.07
O12 0.580 0.017 0.267  0.07

**N(E_F)**: 12.8 states/eV per cell
**Uncorrected energy**: -6.81 eV/atom
**Formation energy (no corrections)**: -1.56 eV per atom

***

> What is the formula in the second record?

Ba8Li2Pd